KRh3Br, optimized geometry, DFT PBE; theoretical density = 6.65 Mg/m³; energy relative to the elements, uncorrected = 0.816 eV/atom; crystal system = cubic; space group = Pm-3m (221)
1.0
4.745 0.000 0.000
0.000 4.745 0.000
0.000 0.000 4.745
K Rh Br
1 3 1
direct
0.000 0.000 0.000
0.000 0.500 0.500
0.500 0.000 0.500
0.500 0.500 0.000
0.500 0.500 0.500


KRhBr4, optimized geometry, DFT PBE; theoretical density = 4.04 Mg/m³; energy relative to the elements, uncorrected = 0.405 eV/atom; crystal system = cubic; space group = F-43m (216)
1.0
0.000 4.562 4.562
4.562 0.000 4.562
4.562 4.562 0.000
K Rh Br
1 1 4
direct
0.000 0.000 0.000
0.750 0.750 0.750
0.375 0.375 0.375
0.375 0.375 0.874
0.375 0.874 0.375
0.874 0.375 0.375


K3RhBr, optimized geometry, DFT PBE; theoretical density = 2.30 Mg/m³; energy relative to the elements, uncorrected = -0.072 eV/atom; crystal system = cubic; space group = Pm-3m (221)
1.0
6.006 0.000 0.000
0.000 6.006 0.000
0.000 0.000 6.006
K Rh Br
3 1 1
direct
0.000 0.000 0.500
0.000 0.500 0.000
0.500 0.000 0.000
0.000 0.000 0.000
0.500 0.500 0.500


Polymorph energy (0 for the lowest one) values (in meV/atom) by entry order: 0.0; 1230.6; 0.0.